{
  "formula": "AlReRu2",
  "functional": "PBEsol",
  "state": "optimized geometry",
  "spacegroup": "P2/m (10)",
  "delta_e_f_ev_per_atom": -0.008,
  "lattice_angstrom": [[2.743, 0.000, 0.000], [0.000, 4.620, 0.010], [0.000, -1.992, 4.367]],
  "species": ["Ru", "Re", "Ru", "Al"],
  "frac_coords": [[0.500, 0.000, 0.500], [0.000, 0.500, 0.500], [0.000, 0.000, 0.000], [0.500, 0.500, 0.000]]
}

{
  "formula": "InReTc",
  "functional": "PBEsol",
  "state": "optimized geometry",
  "polymorph_energy_ev_per_atom": 0.0000,
  "spacegroup": "Fmm2 (42)",
  "delta_e_f_ev_per_atom": 0.442,
  "lattice_angstrom": [[2.803, 0.002, 0.000], [-1.254, 2.507, 0.000], [-0.774, -1.255, 6.935]],
  "species": ["Tc", "Re", "In"],
  "frac_coords": [[0.675, 0.675, 0.350], [0.324, 0.324, 0.647], [0.001, 0.001, 0.003]]
}

{
  "formula": "BaIrIO2",
  "functional": "PBEsol",
  "state": "optimized geometry",
  "e_form_raw_mev_per_atom": -535,
  "spacegroup": "P4/mmm (123)",
  "lattice_angstrom": [[4.358, 0.000, 0.000], [0.000, 4.358, 0.000], [0.000, 0.000, 5.191]],
  "species": ["O", "Ba", "I", "Ir", "O"],
  "frac_coords": [[0.500, 0.000, 0.000], [0.500, 0.500, 0.500], [0.000, 0.000, 0.500], [0.000, 0.000, 0.000], [0.000, 0.500, 0.000]]
}

{
  "formula": "BaMgCr",
  "functional": "PBEsol",
  "state": "optimized geometry",
  "polymorph_energy_ev_per_atom": 0.0000,
  "spacegroup": "I4mm (107)",
  "delta_e_f_ev_per_atom": 0.625,
  "lattice_angstrom": [[3.837, 0.000, 0.000], [0.000, 3.839, 0.000], [-1.918, -1.920, 6.060]],
  "species": ["Mg", "Ba", "Cr"],
  "frac_coords": [[0.705, 0.705, 0.410], [0.995, 0.995, 0.990], [0.300, 0.300, 0.600]]
}

What is the formula in the fourth record? BaMgCr